VASP calculation (PBE-GGA) on a geometry-optimized La2Pm6Tm3 structure.

Unit cell a=5.6814 b=5.6814 c=24.6240 alpha=90.00 beta=90.00 gamma=90.00
Closest atoms and distances in Å follow each position.
Space group I4/mmm (No. 139)
Unique sites:
La 0.0000 0.0000 0.0589 x4  1 La 2.90, 4 Pm 2.99
Pm 0.0000 0.0000 0.2006 x4  1 Tm 3.39, 1 La 3.49
Pm 0.0000 0.5000 0.0963 x8  2 La 2.99, 2 Tm 3.27
Tm 0.0000 0.0000 0.3382 x4  5 Pm 3.27-3.39
Tm 0.0000 0.0000 0.5000 x2  8 Pm 3.70, 2 Tm 3.99

energy of formation from the pure elements	0.454	eV/atom
relative energy among the computed polymorphs	3.16	eV per formula unit

VASP calculation (PBE-GGA) on a geometry-optimized Ce4SnO10 structure.

Unit cell a=3.8199 b=5.4098 c=19.1750 alpha=90.00 beta=90.00 gamma=90.00
Closest atoms and distances in Å follow each position.
Space group Immm (No. 71)
Unique sites:
Ce 0.0000 0.0000 0.0980 x4  8 O 2.36
Ce 0.0000 0.0000 0.3014 x4  8 O 2.34-2.38
Sn 0.0000 0.0000 0.5000 x2  8 O 2.25-2.29
O 0.0000 0.2433 0.4049 x8  1 Sn 2.25, 3 Ce 2.36-2.38
O 0.0000 0.2492 0.1991 x8  4 Ce 2.34-2.38
O 0.0000 0.2650 0.0000 x4  2 Sn 2.29, 2 Ce 2.36, 1 O 2.54

energy relative to the elements, uncorrected	-3.000	eV/atom
relative energy among the computed polymorphs	0.28	eV per formula unit

VASP calculation (PBE-GGA) on a geometry-optimized RbAsCl2 structure.

Unit cell a=7.6679 b=7.6679 c=7.6679 alpha=90.00 beta=90.00 gamma=90.00
Closest atoms and distances in Å follow each position.
Space group Fm-3m (No. 225)
Unique sites:
Rb 0.0000 0.0000 0.0000 x4  8 Cl 3.32
As 0.0000 0.0000 0.5000 x4  8 Cl 3.32
Cl 0.2500 0.2500 0.2500 x8  4 As 3.32, 4 Rb 3.32

energy relative to the elements, uncorrected	-0.409	eV/atom
relative energy among the computed polymorphs	1.24	eV per formula unit

VASP calculation (PBE-GGA) on a geometry-optimized TaCdInSiP structure.

Unit cell a=3.1796 b=5.5444 c=5.9040 alpha=80.29 beta=89.96 gamma=89.78
Closest atoms and distances in Å follow each position.
Space group P1 (No. 1)
Unique sites:
Ta 0.0000 0.0000 0.0000 x1  2 P 2.47, 2 Si 2.56
Cd 0.5025 0.5944 0.2962 x1  2 P 2.64-2.90
In 0.0027 0.5213 0.7729 x1  2 Ta 2.97-3.17, 2 Si 3.02, 2 In 3.18, 2 Cd 3.20
Si 0.5001 0.9889 0.6623 x1  1 P 2.24
P 0.4989 0.1204 0.2814 x1  1 Si 2.24, 2 Ta 2.47

energy relative to the elements, uncorrected	0.060	eV/atom
relative energy among the computed polymorphs	0.34	eV per formula unit

VASP calculation (PBE-GGA) on a geometry-optimized Ac4Tb2Nd3 structure.

Unit cell a=5.4209 b=6.4882 c=11.3630 alpha=74.67 beta=89.99 gamma=65.40
Closest atoms and distances in Å follow each position.
Space group P-1 (No. 2)
Unique sites:
Ac 0.0026 0.4947 0.3317 x2  3 Tb 3.74-3.75, 6 Nd 3.75-3.82, 3 Ac 3.83-3.84
Ac 0.3338 0.8325 0.1111 x2  4 Nd 3.77-3.82, 4 Tb 3.77-3.83, 4 Ac 3.83-3.84
Tb 0.3290 0.8420 0.7728 x2  5 Nd 3.71-3.88, 7 Ac 3.74-3.83
Nd 0.0000 0.5000 0.0000 x1  8 Ac 3.76-3.77, 4 Tb 3.88
Nd 0.3338 0.8321 0.4477 x2  3 Tb 3.71-3.81, 6 Ac 3.75-3.82, 3 Nd 3.75

energy of formation from the pure elements	0.044	eV/atom

VASP calculation (PBE-GGA) on a geometry-optimized SrPm2Sm structure.

Unit cell a=8.4460 b=8.4460 c=8.4460 alpha=90.00 beta=90.00 gamma=90.00
Closest atoms and distances in Å follow each position.
Space group Fm-3m (No. 225)
Unique sites:
Sr 0.0000 0.0000 0.0000 x4  8 Pm 3.66
Pm 0.2500 0.2500 0.2500 x8  4 Sr 3.66, 4 Sm 3.66
Sm 0.0000 0.0000 0.5000 x4  8 Pm 3.66

energy of formation from the pure elements	0.229	eV/atom
relative energy among the computed polymorphs	0.55	eV per formula unit

VASP calculation (PBE-GGA) on a geometry-optimized Pr2Sn3BiPd4 structure.

Unit cell a=4.6351 b=4.6351 c=10.9463 alpha=90.00 beta=90.00 gamma=90.00
Closest atoms and distances in Å follow each position.
Space group P-4m2 (No. 115)
Unique sites:
Pr 0.0000 0.5000 0.2323 x2  8 Pd 3.44-3.57, 6 Sn 3.49-3.74, 2 Bi 3.74
Sn 0.0000 0.5000 0.8765 x2  5 Pd 2.59-2.68
Sn 0.5000 0.5000 0.5000 x1  4 Pd 2.78
Bi 0.0000 0.0000 0.5000 x1  4 Pd 2.78
Pd 0.0000 0.0000 0.0000 x1  4 Sn 2.68
Pd 0.0000 0.5000 0.6395 x2  3 Sn 2.59-2.78, 2 Bi 2.78
Pd 0.5000 0.5000 0.0000 x1  4 Sn 2.68

energy of formation from the pure elements	-0.721	eV/atom

VASP calculation (PBE-GGA) on a geometry-optimized PmPrDy2Sc4 structure.

Unit cell a=6.5617 b=11.3684 c=12.7228 alpha=90.00 beta=90.00 gamma=90.00
Closest atoms and distances in Å follow each position.
Space group Imma (No. 74)
Unique sites:
Pm 0.0000 0.0000 0.0000 x4  6 Sc 3.19-3.28, 2 Dy 3.28
Pr 0.2500 0.2500 0.2500 x4  6 Sc 3.22-3.31, 2 Pr 3.28
Dy 0.0000 0.0000 0.5000 x4  6 Sc 3.17-3.28, 2 Pm 3.28
Dy 0.2500 0.2500 0.7500 x4  6 Sc 3.14-3.25, 2 Dy 3.28
Sc 0.0000 0.0033 0.7492 x8  3 Dy 3.17-3.25, 1 Pm 3.19, 2 Sc 3.28, 2 Pr 3.31
Sc 0.2495 0.2500 0.5030 x8  3 Dy 3.14-3.28, 1 Pr 3.22, 2 Sc 3.27-3.29, 2 Pm 3.28

energy of formation from the pure elements	0.426	eV/atom

VASP calculation (PBE-GGA) on a geometry-optimized SrAsPtO5 structure.

Unit cell a=7.5920 b=9.4798 c=6.9372 alpha=90.00 beta=99.80 gamma=90.00
Closest atoms and distances in Å follow each position.
Space group C2/c (No. 15)
Unique sites:
Sr 0.0000 0.1277 0.2500 x4  7 O 2.52-2.70
As 0.0000 0.2252 0.7500 x4  4 O 1.70-1.77
Pt 0.0000 0.5000 0.0000 x4  4 O 1.94-2.05
O 0.0000 0.4090 0.2500 x4  2 Pt 1.94
O 0.1091 0.1175 0.9268 x8  1 As 1.70
O 0.1435 0.3362 0.6418 x8  1 As 1.77

energy relative to the elements, uncorrected	-1.508	eV/atom

VASP calculation (PBE-GGA) on a geometry-optimized LaSm12Ni6 structure.

Unit cell a=10.0679 b=10.0679 c=10.0679 alpha=90.00 beta=90.00 gamma=90.00
Closest atoms and distances in Å follow each position.
Space group Im-3 (No. 204)
Unique sites:
La 0.0000 0.0000 0.0000 x2  12 Sm 3.66
Sm 0.0000 0.1850 0.3128 x24  3 Ni 2.71-2.92
Ni 0.0000 0.3779 0.5000 x12  1 Ni 2.46, 2 Sm 2.71

energy of formation from the pure elements	-0.194	eV/atom

VASP calculation (PBE-GGA) on a geometry-optimized Rb2MgRuO6 structure.

Unit cell a=6.2258 b=6.2258 c=5.2135 alpha=90.00 beta=90.00 gamma=120.00
Closest atoms and distances in Å follow each position.
Space group P-3m1 (No. 164)
Unique sites:
Rb 0.3333 0.6667 0.2847 x2  9 O 3.08-3.13
Mg 0.0000 0.0000 0.0000 x1  6 O 2.10
Ru 0.0000 0.0000 0.5000 x1  6 O 1.89
O 0.1400 0.2800 0.7195 x6  1 Ru 1.89, 1 Mg 2.10

energy relative to the elements, uncorrected	-1.224	eV/atom

VASP calculation (PBE-GGA) on a geometry-optimized HgSeS2 structure.

Unit cell a=3.9288 b=3.9288 c=22.9238 alpha=90.00 beta=90.00 gamma=120.00
Closest atoms and distances in Å follow each position.
Space group R-3m (No. 166, hexagonal axes)
Unique sites:
Hg 0.0000 0.0000 0.0000 x3  6 S 2.71
Se 0.0000 0.0000 0.5000 x3  2 S 2.34
S 0.0000 0.0000 0.3979 x6  1 Se 2.34

energy relative to the elements, uncorrected	0.256	eV/atom
relative energy among the computed polymorphs	0.87	eV per formula unit

VASP calculation (PBE-GGA) on a geometry-optimized NdGaCu structure.

Unit cell a=6.4681 b=6.4681 c=6.4681 alpha=90.00 beta=90.00 gamma=90.00
Closest atoms and distances in Å follow each position.
Space group F-43m (No. 216)
Unique sites:
Nd 0.0000 0.0000 0.0000 x4  4 Cu 2.80
Ga 0.0000 0.0000 0.5000 x4  4 Cu 2.80
Cu 0.2500 0.2500 0.2500 x4  4 Ga 2.80, 4 Nd 2.80

energy of formation from the pure elements	-0.314	eV/atom

VASP calculation (PBE-GGA) on a geometry-optimized Na4LiSb3S8 structure.

Unit cell a=7.7424 b=7.7424 c=20.2250 alpha=90.00 beta=90.00 gamma=120.00
Closest atoms and distances in Å follow each position.
Space group R-3m (No. 166, hexagonal axes)
Unique sites:
Na 0.0000 0.0000 0.0000 x3  6 S 2.92
Na 0.0000 0.5000 0.0000 x9  6 S 2.87-2.92
Li 0.0000 0.0000 0.5000 x3  6 S 2.68
Sb 0.0000 0.5000 0.5000 x9  6 S 2.69-2.73
S 0.0000 0.0000 0.2442 x6  3 Sb 2.73, 3 Na 2.87
S 0.0003 0.5002 0.2402 x18  1 Li 2.68, 2 Sb 2.69, 3 Na 2.92

energy relative to the elements, uncorrected	-0.678	eV/atom

VASP calculation (PBE-GGA) on a geometry-optimized Dy3Tm5Cd2 structure.

Unit cell a=13.1858 b=14.2205 c=6.5770 alpha=90.00 beta=90.00 gamma=90.00
Closest atoms and distances in Å follow each position.
Space group Ibam (No. 72)
Unique sites:
Dy 0.0000 0.0000 0.2500 x4  4 Cd 3.08, 2 Dy 3.29
Dy 0.1424 0.2180 0.0000 x8  6 Tm 3.50-3.85, 4 Cd 3.50-3.85
Tm 0.0000 0.5000 0.2500 x4  8 Tm 3.13-3.29
Tm 0.0965 0.3272 0.5000 x8  1 Cd 2.80
Tm 0.2373 0.5000 0.2500 x8  2 Cd 3.02, 3 Tm 3.13-3.29
Cd 0.1348 0.1334 0.5000 x8  3 Tm 2.80-3.02, 2 Dy 3.08

energy of formation from the pure elements	0.174	eV/atom

VASP calculation (PBE-GGA) on a geometry-optimized Li8Hg3Bi2 structure.

Unit cell a=12.0733 b=9.6881 c=4.8449 alpha=90.00 beta=104.74 gamma=90.00
Closest atoms and distances in Å follow each position.
Space group C2/m (No. 12)
Unique sites:
Li 0.0619 0.0000 0.2859 x4  4 Li 2.79-2.98, 3 Bi 2.85-3.03, 2 Hg 2.95
Li 0.1427 0.2641 0.0873 x8  3 Hg 2.83-2.95, 2 Bi 2.92-2.96, 2 Li 2.94-2.98
Li 0.1596 0.5000 0.5636 x4  2 Bi 2.88-3.00, 4 Hg 2.91-3.20, 2 Li 3.22
Hg 0.0000 0.2667 0.5000 x4  8 Li 2.93-2.95
Hg 0.0000 0.5000 0.0000 x2  6 Li 2.83-2.91
Bi 0.1973 0.0000 0.8607 x4  9 Li 2.85-3.03

energy of formation from the pure elements	-0.368	eV/atom

VASP calculation (PBE-GGA) on a geometry-optimized YTaIr structure.

Unit cell a=10.5024 b=4.3145 c=7.6700 alpha=90.00 beta=133.03 gamma=90.00
Closest atoms and distances in Å follow each position.
Space group Cm (No. 8)
Unique sites:
Y 0.0000 0.0000 0.0000 x2  5 Ir 2.99-3.12, 3 Ta 3.24-3.33
Y 0.0037 0.5000 0.6285 x2  6 Ta 3.05-3.36, 3 Ir 3.16-3.28
Ta 0.1940 0.0000 0.5880 x2  3 Ir 2.58-2.60, 1 Ta 2.80
Ta 0.3293 0.5000 0.2262 x2  3 Ir 2.61-2.71, 1 Ta 2.80
Ir 0.1572 0.5000 0.3735 x2  3 Ta 2.58-2.71, 1 Ir 2.87
Ir 0.2848 0.0000 0.9993 x2  3 Ta 2.60-2.61, 1 Ir 2.87

energy of formation from the pure elements	-0.388	eV/atom
relative energy among the computed polymorphs	0.57	eV per formula unit

VASP calculation (PBE-GGA) on a geometry-optimized HfNiGe2 structure.

Unit cell a=3.0070 b=3.0070 c=27.2442 alpha=90.00 beta=90.00 gamma=120.00
Closest atoms and distances in Å follow each position.
Space group R-3m (No. 166, hexagonal axes)
Unique sites:
Hf 0.0000 0.0000 0.0000 x3  2 Ge 2.75, 6 Hf 3.01
Ni 0.0000 0.0000 0.5000 x3  6 Ge 2.49
Ge 0.0000 0.0000 0.1011 x6  3 Ni 2.49, 1 Hf 2.75

energy of formation from the pure elements	0.072	eV/atom

VASP calculation (PBE-GGA) on a geometry-optimized CsK2RbNa2 structure.

Unit cell a=6.7957 b=13.1123 c=9.1721 alpha=90.00 beta=90.00 gamma=90.00
Closest atoms and distances in Å follow each position.
Space group Pmc2_1 (No. 26)
Unique sites:
Cs 0.0000 0.0436 0.0000 x2  5 Na 4.35-4.82, 2 Cs 4.73, 2 Rb 4.74
K 0.0000 0.3240 0.3735 x2  4 Na 3.97-4.36
K 0.5000 0.4572 0.0947 x2  5 Na 4.25-4.65, 4 K 4.60-4.72, 1 Rb 4.67
Rb 0.5000 0.1969 0.7147 x2  4 Na 4.27-4.59, 1 K 4.67, 2 Cs 4.74
Na 0.0000 0.3739 0.8433 x2  4 K 3.97-4.36, 2 Rb 4.28
Na 0.5000 0.1518 0.2535 x2  3 K 4.23-4.26, 2 Rb 4.27-4.59, 2 Cs 4.35

energy of formation from the pure elements	0.029	eV/atom

VASP calculation (PBE-GGA) on a geometry-optimized CaPm3Pb4 structure.

Unit cell a=5.8144 b=5.8144 c=14.2567 alpha=90.00 beta=90.00 gamma=90.00
Closest atoms and distances in Å follow each position.
Space group I4/mmm (No. 139)
Unique sites:
Ca 0.0000 0.0000 0.0000 x2  8 Pb 3.41, 2 Pm 3.59
Pm 0.0000 0.0000 0.2518 x4  8 Pb 3.39-3.42, 1 Pm 3.54, 1 Ca 3.59
Pm 0.0000 0.0000 0.5000 x2  8 Pb 3.41, 2 Pm 3.54
Pb 0.0000 0.5000 0.1253 x8  6 Pm 3.39-3.42, 2 Ca 3.41, 2 Pb 3.56-3.57

energy of formation from the pure elements	-0.465	eV/atom

VASP calculation (PBE-GGA) on a geometry-optimized P2WSe structure.

Unit cell a=3.1449 b=3.1449 c=6.3847 alpha=90.00 beta=90.00 gamma=90.00
Closest atoms and distances in Å follow each position.
Space group P4/mmm (No. 123)
Unique sites:
P 0.0000 0.0000 0.2062 x2  4 W 2.58, 1 P 2.63
W 0.5000 0.5000 0.0000 x1  8 P 2.58
Se 0.5000 0.5000 0.5000 x1  8 P 2.91, 4 Se 3.14, 2 W 3.19

energy relative to the elements, uncorrected	0.174	eV/atom

VASP calculation (PBE-GGA) on a geometry-optimized ErMgZrRh structure.

Unit cell a=6.9212 b=6.9212 c=6.9212 alpha=90.00 beta=90.00 gamma=90.00
Closest atoms and distances in Å follow each position.
Space group F-43m (No. 216)
Unique sites:
Er 0.0000 0.0000 0.0000 x4  4 Mg 3.00, 4 Rh 3.00
Mg 0.2500 0.2500 0.2500 x4  4 Zr 3.00, 4 Er 3.00
Zr 0.0000 0.0000 0.5000 x4  4 Mg 3.00, 4 Rh 3.00
Rh 0.2500 0.2500 0.7500 x4  4 Zr 3.00, 4 Er 3.00

energy of formation from the pure elements	-0.308	eV/atom

Number 1: mass density 6.91 g/cm³. Number 2: mass density 7.03 g/cm³. Number 3: mass density 3.41 g/cm³. Number 4: mass density 7.56 g/cm³. Number 5: mass density 7.92 g/cm³. Number 6: mass density 5.82 g/cm³. Number 7: mass density 8.99 g/cm³. Number 8: mass density 5.53 g/cm³. Number 9: mass density 5.91 g/cm³. Number 10: mass density 7.47 g/cm³. Number 11: mass density 3.72 g/cm³. Number 12: mass density 5.59 g/cm³. Number 13: mass density 6.81 g/cm³. Number 14: mass density 3.42 g/cm³. Number 15: mass density 8.39 g/cm³. Number 16: mass density 6.52 g/cm³. Number 17: mass density 12.08 g/cm³. Number 18: mass density 8.93 g/cm³. Number 19: mass density 1.39 g/cm³. Number 20: mass density 8.98 g/cm³. Number 21: mass density 8.54 g/cm³. Number 22: mass density 7.73 g/cm³.